# NbVRe (PBE-GGA, relaxed)
# **Energy of formation from the pure elements**: -0.246 eV per atom
# **SG**: No. 107
data_NbVRe
_chemical_formula_sum 'Nb1 V1 Re1'
_cell_length_a 5.229
_cell_length_b 5.229
_cell_length_c 5.229
_cell_angle_alpha 145.18
_cell_angle_beta 145.18
_cell_angle_gamma 50.06
_space_group_name_H-M_alt 'P 1'
_space_group_IT_number 1
loop_
_space_group_symop_operation_xyz
'x,y,z'
loop_
_atom_site_label
_atom_site_fract_x
_atom_site_fract_y
_atom_site_fract_z
Nb1 0.000 0.000 0.000
V1 0.672 0.672 0.000
Re1 0.327 0.327 0.000

# LaPHPd6 (PBE-GGA, relaxed)
# **E**: -5.42 eV per atom
# **SG**: No. 74
data_LaPHPd6
_chemical_formula_sum 'La2 P2 H2 Pd12'
_cell_length_a 7.641
_cell_length_b 7.641
_cell_length_c 7.641
_cell_angle_alpha 121.13
_cell_angle_beta 120.25
_cell_angle_gamma 88.81
_space_group_name_H-M_alt 'P 1'
_space_group_IT_number 1
loop_
_space_group_symop_operation_xyz
'x,y,z'
loop_
_atom_site_label
_atom_site_fract_x
_atom_site_fract_y
_atom_site_fract_z
La1 0.322 0.072 0.250
La2 0.678 0.928 0.750
P1 0.000 0.500 0.500
P2 0.500 0.500 0.000
H1 0.000 0.000 0.500
H2 0.000 0.500 0.000
Pd1 0.024 0.774 0.250
Pd2 0.072 0.386 0.211
Pd3 0.072 0.862 0.687
Pd4 0.325 0.138 0.711
Pd5 0.325 0.614 0.187
Pd6 0.369 0.619 0.750
Pd7 0.631 0.381 0.250
Pd8 0.675 0.386 0.813
Pd9 0.675 0.862 0.289
Pd10 0.928 0.138 0.313
Pd11 0.928 0.614 0.789
Pd12 0.976 0.226 0.750

# Pr2CuNi4Sb3 (PBE-GGA, relaxed)
# **E_form (uncorrected)**: -5.966 eV per formula unit
# **SG**: No. 115
data_Pr2CuNi4Sb3
_chemical_formula_sum 'Pr2 Cu1 Ni4 Sb3'
_cell_length_a 4.367
_cell_length_b 4.367
_cell_length_c 10.011
_cell_angle_alpha 90.00
_cell_angle_beta 90.00
_cell_angle_gamma 90.00
_space_group_name_H-M_alt 'P 1'
_space_group_IT_number 1
loop_
_space_group_symop_operation_xyz
'x,y,z'
loop_
_atom_site_label
_atom_site_fract_x
_atom_site_fract_y
_atom_site_fract_z
Pr1 0.000 0.500 0.249
Pr2 0.500 0.000 0.751
Cu1 0.000 0.000 0.500
Ni1 0.000 0.000 0.000
Ni2 0.000 0.500 0.617
Ni3 0.500 0.000 0.383
Ni4 0.500 0.500 0.000
Sb1 0.000 0.500 0.867
Sb2 0.500 0.000 0.133
Sb3 0.500 0.500 0.500

# NaSn2Mo2 (PBE-GGA, relaxed)
# **Energy of formation from the pure elements**: 0.407 eV per atom
# **SG**: No. 139
data_NaSn2Mo2
_chemical_formula_sum 'Na1 Sn2 Mo2'
_cell_length_a 5.672
_cell_length_b 5.672
_cell_length_c 5.672
_cell_angle_alpha 125.55
_cell_angle_beta 125.55
_cell_angle_gamma 80.63
_space_group_name_H-M_alt 'P 1'
_space_group_IT_number 1
loop_
_space_group_symop_operation_xyz
'x,y,z'
loop_
_atom_site_label
_atom_site_fract_x
_atom_site_fract_y
_atom_site_fract_z
Na1 0.000 0.000 0.000
Sn1 0.250 0.750 0.500
Sn2 0.750 0.250 0.500
Mo1 0.371 0.371 0.000
Mo2 0.629 0.629 0.000

# NiGeSe (PBE-GGA, relaxed)
# **E_form (uncorrected)**: -0.929 eV per formula unit
# **SG**: No. 14
data_NiGeSe
_chemical_formula_sum 'Ni4 Ge4 Se4'
_cell_length_a 6.064
_cell_length_b 5.870
_cell_length_c 6.004
_cell_angle_alpha 90.00
_cell_angle_beta 105.94
_cell_angle_gamma 90.00
_space_group_name_H-M_alt 'P 1'
_space_group_IT_number 1
loop_
_space_group_symop_operation_xyz
'x,y,z'
loop_
_atom_site_label
_atom_site_fract_x
_atom_site_fract_y
_atom_site_fract_z
Ni1 0.248 0.004 0.241
Ni2 0.248 0.496 0.741
Ni3 0.752 0.504 0.259
Ni4 0.752 0.996 0.759
Ge1 0.364 0.133 0.637
Ge2 0.364 0.367 0.137
Ge3 0.636 0.633 0.863
Ge4 0.636 0.867 0.363
Se1 0.154 0.631 0.345
Se2 0.154 0.869 0.845
Se3 0.846 0.131 0.155
Se4 0.846 0.369 0.655

# Pr2AgGe4Pd3 (PBE-GGA, relaxed)
# **Energy of formation from the pure elements**: -0.718 eV per atom
# **SG**: No. 115
data_Pr2AgGe4Pd3
_chemical_formula_sum 'Pr2 Ag1 Ge4 Pd3'
_cell_length_a 4.377
_cell_length_b 4.377
_cell_length_c 10.358
_cell_angle_alpha 90.00
_cell_angle_beta 90.00
_cell_angle_gamma 90.00
_space_group_name_H-M_alt 'P 1'
_space_group_IT_number 1
loop_
_space_group_symop_operation_xyz
'x,y,z'
loop_
_atom_site_label
_atom_site_fract_x
_atom_site_fract_y
_atom_site_fract_z
Pr1 0.000 0.500 0.247
Pr2 0.500 0.000 0.753
Ag1 0.000 0.000 0.500
Ge1 0.000 0.000 0.000
Ge2 0.000 0.500 0.639
Ge3 0.500 0.000 0.361
Ge4 0.500 0.500 0.000
Pd1 0.000 0.500 0.877
Pd2 0.500 0.000 0.123
Pd3 0.500 0.500 0.500

# LiGaAg (PBE-GGA, relaxed)
# **Energy of formation from the pure elements**: -0.045 eV per atom
# **SG**: No. 216
data_LiGaAg
_chemical_formula_sum 'Li1 Ga1 Ag1'
_cell_length_a 4.365
_cell_length_b 4.365
_cell_length_c 4.365
_cell_angle_alpha 60.00
_cell_angle_beta 60.00
_cell_angle_gamma 60.00
_space_group_name_H-M_alt 'P 1'
_space_group_IT_number 1
loop_
_space_group_symop_operation_xyz
'x,y,z'
loop_
_atom_site_label
_atom_site_fract_x
_atom_site_fract_y
_atom_site_fract_z
Li1 0.000 0.000 0.000
Ga1 0.500 0.500 0.500
Ag1 0.750 0.750 0.750

# Tl2TeSe (PBE-GGA, relaxed)
# **E_form (uncorrected)**: -0.490 eV per formula unit
# **SG**: No. 8
data_Tl2TeSe
_chemical_formula_sum 'Tl2 Te1 Se1'
_cell_length_a 6.484
_cell_length_b 6.484
_cell_length_c 6.343
_cell_angle_alpha 91.36
_cell_angle_beta 91.36
_cell_angle_gamma 28.03
_space_group_name_H-M_alt 'P 1'
_space_group_IT_number 1
loop_
_space_group_symop_operation_xyz
'x,y,z'
loop_
_atom_site_label
_atom_site_fract_x
_atom_site_fract_y
_atom_site_fract_z
Tl1 0.000 0.000 0.000
Tl2 0.228 0.228 0.546
Te1 0.483 0.483 0.492
Se1 0.742 0.742 0.994

# DyPdS2 (PBE-GGA, relaxed)
# **E_form (uncorrected)**: -4.251 eV per formula unit
# **SG**: No. 160
data_DyPdS2
_chemical_formula_sum 'Dy1 Pd1 S2'
_cell_length_a 6.454
_cell_length_b 6.454
_cell_length_c 6.454
_cell_angle_alpha 34.88
_cell_angle_beta 34.88
_cell_angle_gamma 34.88
_space_group_name_H-M_alt 'P 1'
_space_group_IT_number 1
loop_
_space_group_symop_operation_xyz
'x,y,z'
loop_
_atom_site_label
_atom_site_fract_x
_atom_site_fract_y
_atom_site_fract_z
Dy1 0.000 0.000 0.000
Pd1 0.178 0.178 0.178
S1 0.580 0.580 0.580
S2 0.756 0.756 0.756

# TbHo5Hg6 (PBE-GGA, relaxed)
# **Energy of formation from the pure elements**: -0.481 eV per atom
# **SG**: No. 65
data_TbHo5Hg6
_chemical_formula_sum 'Tb1 Ho5 Hg6'
_cell_length_a 8.309
_cell_length_b 8.309
_cell_length_c 7.435
_cell_angle_alpha 90.00
_cell_angle_beta 90.00
_cell_angle_gamma 143.27
_space_group_name_H-M_alt 'P 1'
_space_group_IT_number 1
loop_
_space_group_symop_operation_xyz
'x,y,z'
loop_
_atom_site_label
_atom_site_fract_x
_atom_site_fract_y
_atom_site_fract_z
Tb1 0.000 0.000 0.000
Ho1 0.000 0.000 0.500
Ho2 0.333 0.667 0.000
Ho3 0.334 0.666 0.500
Ho4 0.666 0.334 0.500
Ho5 0.667 0.333 0.000
Hg1 0.167 0.833 0.252
Hg2 0.167 0.833 0.748
Hg3 0.500 0.500 0.251
Hg4 0.500 0.500 0.749
Hg5 0.833 0.167 0.252
Hg6 0.833 0.167 0.748

# Ta2Te (PBE-GGA, relaxed)
# **E_form (uncorrected)**: 0.459 eV per formula unit
# **SG**: No. 8
data_Ta2Te
_chemical_formula_sum 'Ta4 Te2'
_cell_length_a 5.443
_cell_length_b 5.443
_cell_length_c 6.782
_cell_angle_alpha 104.80
_cell_angle_beta 104.80
_cell_angle_gamma 37.67
_space_group_name_H-M_alt 'P 1'
_space_group_IT_number 1
loop_
_space_group_symop_operation_xyz
'x,y,z'
loop_
_atom_site_label
_atom_site_fract_x
_atom_site_fract_y
_atom_site_fract_z
Ta1 0.000 0.000 0.000
Ta2 0.064 0.064 0.554
Ta3 0.364 0.364 0.663
Ta4 0.702 0.702 0.316
Te1 0.407 0.407 0.260
Te2 0.694 0.694 0.869

# Tc2HgCl (PBE-GGA, relaxed)
# **E_form (uncorrected)**: 2.572 eV per formula unit
# **SG**: No. 44
data_Tc2HgCl
_chemical_formula_sum 'Tc2 Hg1 Cl1'
_cell_length_a 6.218
_cell_length_b 6.218
_cell_length_c 6.218
_cell_angle_alpha 149.07
_cell_angle_beta 134.25
_cell_angle_gamma 56.25
_space_group_name_H-M_alt 'P 1'
_space_group_IT_number 1
loop_
_space_group_symop_operation_xyz
'x,y,z'
loop_
_atom_site_label
_atom_site_fract_x
_atom_site_fract_y
_atom_site_fract_z
Tc1 0.000 0.000 0.000
Tc2 0.855 0.355 0.500
Hg1 0.486 0.486 0.000
Cl1 0.206 0.706 0.500

# Cd2IrBr (PBE-GGA, relaxed)
# **E_form (uncorrected)**: 1.717 eV per formula unit
# **SG**: No. 160
data_Cd2IrBr
_chemical_formula_sum 'Cd2 Ir1 Br1'
_cell_length_a 9.397
_cell_length_b 9.397
_cell_length_c 9.397
_cell_angle_alpha 19.89
_cell_angle_beta 19.89
_cell_angle_gamma 19.89
_space_group_name_H-M_alt 'P 1'
_space_group_IT_number 1
loop_
_space_group_symop_operation_xyz
'x,y,z'
loop_
_atom_site_label
_atom_site_fract_x
_atom_site_fract_y
_atom_site_fract_z
Cd1 0.000 0.000 0.000
Cd2 0.241 0.241 0.241
Ir1 0.500 0.500 0.500
Br1 0.763 0.763 0.763

# Pr4SmTm (PBE-GGA, relaxed)
# **Energy of formation from the pure elements**: 0.173 eV per atom
# **SG**: No. 12
data_Pr4SmTm
_chemical_formula_sum 'Pr4 Sm1 Tm1'
_cell_length_a 6.214
_cell_length_b 6.214
_cell_length_c 11.709
_cell_angle_alpha 118.19
_cell_angle_beta 118.19
_cell_angle_gamma 32.73
_space_group_name_H-M_alt 'P 1'
_space_group_IT_number 1
loop_
_space_group_symop_operation_xyz
'x,y,z'
loop_
_atom_site_label
_atom_site_fract_x
_atom_site_fract_y
_atom_site_fract_z
Pr1 0.186 0.186 0.342
Pr2 0.190 0.190 0.846
Pr3 0.810 0.810 0.154
Pr4 0.814 0.814 0.658
Sm1 0.000 0.000 0.500
Tm1 0.000 0.000 0.000

# Cs2TiSnS4 (PBE-GGA, relaxed)
# **E_form (uncorrected)**: -8.679 eV per formula unit
# **SG**: No. 70
data_Cs2TiSnS4
_chemical_formula_sum 'Cs4 Ti2 Sn2 S8'
_cell_length_a 14.299
_cell_length_b 12.889
_cell_length_c 7.867
_cell_angle_alpha 83.33
_cell_angle_beta 63.55
_cell_angle_gamma 33.12
_space_group_name_H-M_alt 'P 1'
_space_group_IT_number 1
loop_
_space_group_symop_operation_xyz
'x,y,z'
loop_
_atom_site_label
_atom_site_fract_x
_atom_site_fract_y
_atom_site_fract_z
Cs1 0.054 0.054 0.696
Cs2 0.304 0.304 0.946
Cs3 0.696 0.696 0.054
Cs4 0.946 0.946 0.304
Ti1 0.375 0.375 0.375
Ti2 0.625 0.625 0.625
Sn1 0.125 0.125 0.125
Sn2 0.875 0.875 0.875
S1 0.027 0.623 0.541
S2 0.309 0.541 0.623
S3 0.377 0.973 0.691
S4 0.459 0.691 0.973
S5 0.541 0.309 0.027
S6 0.623 0.027 0.309
S7 0.691 0.459 0.377
S8 0.973 0.377 0.459

# AcNd3Ho12 (PBE-GGA, relaxed)
# **Energy of formation from the pure elements**: 0.033 eV per atom
# **SG**: No. 123
data_AcNd3Ho12
_chemical_formula_sum 'Ac1 Nd3 Ho12'
_cell_length_a 5.065
_cell_length_b 5.065
_cell_length_c 20.279
_cell_angle_alpha 90.00
_cell_angle_beta 90.00
_cell_angle_gamma 90.00
_space_group_name_H-M_alt 'P 1'
_space_group_IT_number 1
loop_
_space_group_symop_operation_xyz
'x,y,z'
loop_
_atom_site_label
_atom_site_fract_x
_atom_site_fract_y
_atom_site_fract_z
Ac1 0.000 0.000 0.000
Nd1 0.000 0.000 0.252
Nd2 0.000 0.000 0.500
Nd3 0.000 0.000 0.748
Ho1 0.000 0.500 0.129
Ho2 0.000 0.500 0.376
Ho3 0.000 0.500 0.624
Ho4 0.000 0.500 0.871
Ho5 0.500 0.000 0.129
Ho6 0.500 0.000 0.376
Ho7 0.500 0.000 0.624
Ho8 0.500 0.000 0.871
Ho9 0.500 0.500 0.000
Ho10 0.500 0.500 0.253
Ho11 0.500 0.500 0.500
Ho12 0.500 0.500 0.747

# NaI2 (PBE-GGA, relaxed)
# **E_form (uncorrected)**: -2.342 eV per formula unit
# **SG**: No. 12
data_NaI2
_chemical_formula_sum 'Na1 I2'
_cell_length_a 4.650
_cell_length_b 4.650
_cell_length_c 6.530
_cell_angle_alpha 111.32
_cell_angle_beta 111.32
_cell_angle_gamma 75.35
_space_group_name_H-M_alt 'P 1'
_space_group_IT_number 1
loop_
_space_group_symop_operation_xyz
'x,y,z'
loop_
_atom_site_label
_atom_site_fract_x
_atom_site_fract_y
_atom_site_fract_z
Na1 0.000 0.000 0.000
I1 0.497 0.497 0.251
I2 0.503 0.503 0.749

# Y3NiAs (PBE-GGA, relaxed)
# **Energy of formation from the pure elements**: -0.293 eV per atom
# **SG**: No. 221
data_Y3NiAs
_chemical_formula_sum 'Y3 Ni1 As1'
_cell_length_a 5.145
_cell_length_b 5.145
_cell_length_c 5.145
_cell_angle_alpha 90.00
_cell_angle_beta 90.00
_cell_angle_gamma 90.00
_space_group_name_H-M_alt 'P 1'
_space_group_IT_number 1
loop_
_space_group_symop_operation_xyz
'x,y,z'
loop_
_atom_site_label
_atom_site_fract_x
_atom_site_fract_y
_atom_site_fract_z
Y1 0.000 0.000 0.500
Y2 0.000 0.500 0.000
Y3 0.500 0.000 0.000
Ni1 0.000 0.000 0.000
As1 0.500 0.500 0.500

# PmIn3Rh (PBE-GGA, relaxed)
# **Energy of formation from the pure elements**: -0.502 eV per atom
# **SG**: No. 221
data_PmIn3Rh
_chemical_formula_sum 'Pm3 In9 Rh3'
_cell_length_a 6.954
_cell_length_b 6.954
_cell_length_c 6.954
_cell_angle_alpha 90.00
_cell_angle_beta 90.00
_cell_angle_gamma 90.00
_space_group_name_H-M_alt 'P 1'
_space_group_IT_number 1
loop_
_space_group_symop_operation_xyz
'x,y,z'
loop_
_atom_site_label
_atom_site_fract_x
_atom_site_fract_y
_atom_site_fract_z
Pm1 0.000 0.000 0.500
Pm2 0.000 0.500 0.000
Pm3 0.500 0.000 0.000
In1 0.000 0.000 0.000
In2 0.284 0.284 0.284
In3 0.284 0.284 0.716
In4 0.284 0.716 0.284
In5 0.284 0.716 0.716
In6 0.716 0.284 0.284
In7 0.716 0.284 0.716
In8 0.716 0.716 0.284
In9 0.716 0.716 0.716
Rh1 0.000 0.500 0.500
Rh2 0.500 0.000 0.500
Rh3 0.500 0.500 0.000

# Ca2AlAs (PBE-GGA, relaxed)
# **Energy of formation from the pure elements**: -0.531 eV per atom
# **SG**: No. 123
data_Ca2AlAs
_chemical_formula_sum 'Ca2 Al1 As1'
_cell_length_a 4.882
_cell_length_b 4.882
_cell_length_c 4.119
_cell_angle_alpha 90.00
_cell_angle_beta 90.00
_cell_angle_gamma 90.00
_space_group_name_H-M_alt 'P 1'
_space_group_IT_number 1
loop_
_space_group_symop_operation_xyz
'x,y,z'
loop_
_atom_site_label
_atom_site_fract_x
_atom_site_fract_y
_atom_site_fract_z
Ca1 0.000 0.500 0.000
Ca2 0.500 0.000 0.000
Al1 0.000 0.000 0.500
As1 0.500 0.500 0.500

# Li2SiSe (PBE-GGA, relaxed)
# **E_form (uncorrected)**: -1.628 eV per formula unit
# **SG**: No. 123
data_Li2SiSe
_chemical_formula_sum 'Li2 Si1 Se1'
_cell_length_a 3.497
_cell_length_b 3.497
_cell_length_c 5.401
_cell_angle_alpha 90.00
_cell_angle_beta 90.00
_cell_angle_gamma 90.00
_space_group_name_H-M_alt 'P 1'
_space_group_IT_number 1
loop_
_space_group_symop_operation_xyz
'x,y,z'
loop_
_atom_site_label
_atom_site_fract_x
_atom_site_fract_y
_atom_site_fract_z
Li1 0.000 0.000 0.237
Li2 0.000 0.000 0.763
Si1 0.500 0.500 0.500
Se1 0.500 0.500 0.000